# 1
# PBE CaNd2Bi, optimized geometry
data_CaNd2Bi
_cell_length_a 4.375
_cell_length_b 4.375
_cell_length_c 6.934
_cell_angle_alpha 90.00
_cell_angle_beta 90.00
_cell_angle_gamma 90.00
_space_group_name_H-M_alt 'P 4/m m m'
_space_group_IT_number 123
_space_group_name_Hall '-P 4 2'
loop_
_atom_site_label
_atom_site_type_symbol
_atom_site_fract_x
_atom_site_fract_y
_atom_site_fract_z
Ca1 Ca 0.000 0.000 0.000
Nd1 Nd 0.500 0.500 0.265
Bi1 Bi 0.000 0.000 0.500
# energy above the most stable polymorph in this dataset	0.000	eV/atom
# E_tot	-17.03	eV for the cell shown

***

# 2
# PBE CaNdBi2, optimized geometry
data_CaNdBi2
_cell_length_a 4.8109
_cell_length_b 4.8109
_cell_length_c 21.4691
_cell_angle_alpha 90.00
_cell_angle_beta 90.00
_cell_angle_gamma 120.00
_space_group_name_H-M_alt 'R 3 m'
_space_group_IT_number 160
_space_group_name_Hall 'R 3 -2"'
loop_
_atom_site_label
_atom_site_type_symbol
_atom_site_fract_x
_atom_site_fract_y
_atom_site_fract_z
Ca1 Ca 0.0000 0.0000 0.0000
Nd1 Nd 0.0000 0.0000 0.8246
Bi1 Bi 0.0000 0.0000 0.4148
Bi2 Bi 0.0000 0.0000 0.5805
# energy above the most stable polymorph in this dataset	0.074	eV/atom
# E_tot	-51.89	eV for the cell shown

***

# 3
# PBE CaNdBi6, optimized geometry
data_CaNdBi6
_cell_length_a 4.884
_cell_length_b 4.884
_cell_length_c 10.489
_cell_angle_alpha 90.00
_cell_angle_beta 90.00
_cell_angle_gamma 90.00
_space_group_name_H-M_alt 'P 4/m m m'
_space_group_IT_number 123
_space_group_name_Hall '-P 4 2'
loop_
_atom_site_label
_atom_site_type_symbol
_atom_site_fract_x
_atom_site_fract_y
_atom_site_fract_z
Ca1 Ca 0.000 0.000 0.000
Nd1 Nd 0.000 0.000 0.500
Bi1 Bi 0.000 0.500 0.250
Bi2 Bi 0.500 0.500 0.000
Bi3 Bi 0.500 0.500 0.500
# E_tot	-33.41	eV for the cell shown

***

# 4
# PBE Ca2NdBi3, optimized geometry
data_Ca2NdBi3
_cell_length_a 5.315
_cell_length_b 6.611
_cell_length_c 11.540
_cell_angle_alpha 90.00
_cell_angle_beta 90.00
_cell_angle_gamma 90.00
_space_group_name_H-M_alt 'I m m m'
_space_group_IT_number 71
_space_group_name_Hall '-I 2 2'
loop_
_atom_site_label
_atom_site_type_symbol
_atom_site_fract_x
_atom_site_fract_y
_atom_site_fract_z
Ca1 Ca 0.000 0.000 0.163
Nd1 Nd 0.000 0.000 0.500
Bi1 Bi 0.000 0.500 0.166
Bi2 Bi 0.000 0.500 0.500
# E_tot	-49.46	eV for the cell shown

***

# 5
# PBE CaNdBi, optimized geometry
data_CaNdBi
_cell_length_a 4.471
_cell_length_b 14.164
_cell_length_c 6.556
_cell_angle_alpha 90.00
_cell_angle_beta 90.00
_cell_angle_gamma 90.00
_space_group_name_H-M_alt 'C m c m'
_space_group_IT_number 63
_space_group_name_Hall '-C 2c 2'
loop_
_atom_site_label
_atom_site_type_symbol
_atom_site_fract_x
_atom_site_fract_y
_atom_site_fract_z
Ca1 Ca 0.000 0.202 0.250
Nd1 Nd 0.000 0.500 0.000
Bi1 Bi 0.000 0.132 0.750
# E_tot	-50.09	eV for the cell shown

***

# 6
# PBE CaNd3Bi2, optimized geometry
data_CaNd3Bi2
_cell_length_a 4.680
_cell_length_b 4.680
_cell_length_c 9.014
_cell_angle_alpha 90.00
_cell_angle_beta 90.00
_cell_angle_gamma 90.00
_space_group_name_H-M_alt 'P -4 m 2'
_space_group_IT_number 115
_space_group_name_Hall 'P -4 -2'
loop_
_atom_site_label
_atom_site_type_symbol
_atom_site_fract_x
_atom_site_fract_y
_atom_site_fract_z
Ca1 Ca 0.000 0.000 0.000
Nd1 Nd 0.000 0.500 0.352
Nd2 Nd 0.500 0.500 0.000
Bi1 Bi 0.000 0.500 0.719
# energy above the most stable polymorph in this dataset	0.000	eV/atom
# E_tot	-27.84	eV for the cell shown

***

# 7
# PBE CaNd2Bi3, optimized geometry
data_CaNd2Bi3
_cell_length_a 4.6026
_cell_length_b 4.6026
_cell_length_c 11.4000
_cell_angle_alpha 90.00
_cell_angle_beta 90.00
_cell_angle_gamma 120.00
_space_group_name_H-M_alt 'P -3 m 1'
_space_group_IT_number 164
_space_group_name_Hall '-P 3 2"'
loop_
_atom_site_label
_atom_site_type_symbol
_atom_site_fract_x
_atom_site_fract_y
_atom_site_fract_z
Ca1 Ca 0.0000 0.0000 0.0000
Nd1 Nd 0.3333 0.6667 0.6701
Bi1 Bi 0.0000 0.0000 0.5000
Bi2 Bi 0.3333 0.6667 0.1691
# E_tot	-28.15	eV for the cell shown

***

# 8
# PBE CaNdBi2, optimized geometry
data_CaNdBi2
_cell_length_a 5.966
_cell_length_b 5.966
_cell_length_c 3.522
_cell_angle_alpha 90.00
_cell_angle_beta 90.00
_cell_angle_gamma 90.00
_space_group_name_H-M_alt 'P 4/m m m'
_space_group_IT_number 123
_space_group_name_Hall '-P 4 2'
loop_
_atom_site_label
_atom_site_type_symbol
_atom_site_fract_x
_atom_site_fract_y
_atom_site_fract_z
Ca1 Ca 0.000 0.000 0.000
Nd1 Nd 0.500 0.500 0.000
Bi1 Bi 0.000 0.500 0.500
# energy above the most stable polymorph in this dataset	0.027	eV/atom
# E_tot	-17.48	eV for the cell shown

***

# 9
# PBE CaNdBi2, optimized geometry
data_CaNdBi2
_cell_length_a 7.980
_cell_length_b 7.980
_cell_length_c 7.980
_cell_angle_alpha 90.00
_cell_angle_beta 90.00
_cell_angle_gamma 90.00
_space_group_name_H-M_alt 'F m -3 m'
_space_group_IT_number 225
_space_group_name_Hall '-F 4 2 3'
loop_
_atom_site_label
_atom_site_type_symbol
_atom_site_fract_x
_atom_site_fract_y
_atom_site_fract_z
Ca1 Ca 0.000 0.000 0.000
Nd1 Nd 0.000 0.000 0.500
Bi1 Bi 0.250 0.250 0.250
# energy above the most stable polymorph in this dataset	0.076	eV/atom
# E_tot	-69.15	eV for the cell shown

***

# 10
# PBE CaNdBi2, optimized geometry
data_CaNdBi2
_cell_length_a 4.232
_cell_length_b 4.232
_cell_length_c 7.015
_cell_angle_alpha 90.00
_cell_angle_beta 90.00
_cell_angle_gamma 90.00
_space_group_name_H-M_alt 'P 4/m m m'
_space_group_IT_number 123
_space_group_name_Hall '-P 4 2'
loop_
_atom_site_label
_atom_site_type_symbol
_atom_site_fract_x
_atom_site_fract_y
_atom_site_fract_z
Ca1 Ca 0.000 0.000 0.000
Nd1 Nd 0.000 0.000 0.500
Bi1 Bi 0.500 0.500 0.255
# energy above the most stable polymorph in this dataset	0.051	eV/atom
# E_tot	-17.38	eV for the cell shown

***

# 11
# PBE CaNdBi, optimized geometry
data_CaNdBi
_cell_length_a 6.352
_cell_length_b 4.541
_cell_length_c 8.238
_cell_angle_alpha 90.00
_cell_angle_beta 109.18
_cell_angle_gamma 90.00
_space_group_name_H-M_alt 'P 1 21/m 1'
_space_group_IT_number 11
_space_group_name_Hall '-P 2yb'
loop_
_atom_site_label
_atom_site_type_symbol
_atom_site_fract_x
_atom_site_fract_y
_atom_site_fract_z
Ca1 Ca 0.214 0.250 0.418
Nd1 Nd 0.215 0.250 0.948
Bi1 Bi 0.338 0.750 0.713
# E_tot	-24.22	eV for the cell shown

***

# 12
# PBE CaNdBi, optimized geometry
data_CaNdBi
_cell_length_a 4.219
_cell_length_b 4.219
_cell_length_c 11.000
_cell_angle_alpha 90.00
_cell_angle_beta 90.00
_cell_angle_gamma 90.00
_space_group_name_H-M_alt 'I 4 m m'
_space_group_IT_number 107
_space_group_name_Hall 'I 4 -2'
loop_
_atom_site_label
_atom_site_type_symbol
_atom_site_fract_x
_atom_site_fract_y
_atom_site_fract_z
Ca1 Ca 0.000 0.000 0.000
Nd1 Nd 0.000 0.000 0.695
Bi1 Bi 0.000 0.000 0.346
# E_tot	-24.08	eV for the cell shown